14
Lattice="4.5938 -6.9510 0.0000 4.5938 6.9510 0.0000 -0.6470 0.0000 8.5172" Properties=species:S:1:pos:R:3 comment="GGA-PBE Ac3YSn3, optimized geometry" dft_energy_ev_per_fu=-34.2 vol_a3_per_cell=543.93 formation_enthalpy_0k_mev_per_atom=-481 crystal_system=monoclinic pbc="T T T"
Ac 4.5938 4.7002 0.0000
Ac 4.2703 3.7459 4.2586
Ac 3.4551 0.0000 1.3072
Ac 5.0855 0.0000 7.2100
Ac 4.2703 -3.7459 4.2586
Ac 4.5938 -4.7002 0.0000
Y 1.7961 0.0000 5.1405
Y 6.7445 0.0000 3.3768
Sn 0.4539 0.0000 2.4724
Sn 2.4017 2.3822 6.7944
Sn 2.4017 -2.3822 6.7944
Sn 6.1389 2.3822 1.7228
Sn 6.1389 -2.3822 1.7228
Sn 8.0867 0.0000 6.0448



24
Lattice="11.2187 0.0000 0.0000 0.0000 4.1043 0.0000 0.0000 0.0000 11.2159" Properties=species:S:1:pos:R:3 comment="GGA-PBE Ho3Si2Ni, optimized geometry" dft_energy_ev_per_fu=-34.8 vol_a3_per_cell=516.43 e_form_raw_ev_per_atom=-0.747 crystal_system=orthorhombic pbc="T T T"
Ho 0.6542 1.0261 1.3961
Ho 1.3139 3.0782 6.2770
Ho 2.3999 1.0261 9.0133
Ho 3.2095 3.0782 3.4053
Ho 4.2954 1.0261 0.6690
Ho 4.9552 3.0782 7.0041
Ho 6.2635 1.0261 4.2118
Ho 6.9232 3.0782 10.5469
Ho 8.0092 1.0261 7.8106
Ho 8.8188 3.0782 2.2026
Ho 9.9048 1.0261 4.9389
Ho 10.5645 3.0782 9.8198
Si 0.2799 3.0782 3.5087
Si 2.2044 3.0782 11.1546
Si 3.4050 1.0261 5.5466
Si 5.3294 1.0261 9.1167
Si 5.8893 3.0782 2.0992
Si 7.8137 3.0782 5.6693
Si 9.0143 1.0261 0.0613
Si 10.9388 1.0261 7.7072
Ni 1.4626 1.0261 4.1026
Ni 4.1468 3.0782 9.7105
Ni 7.0719 1.0261 1.5054
Ni 9.7561 3.0782 7.1133



8
Lattice="4.5470 0.0000 0.0000 -1.6809 4.9120 0.0000 -1.4076 -2.4617 4.8578" Properties=species:S:1:pos:R:3 comment="GGA-PBE GaB2As, optimized geometry" dft_energy_ev_per_fu=-19.9 vol_a3_per_cell=108.50 formation_enthalpy_0k_mev_per_atom=278 e_above_lowest_polymorph_ev_per_atom=0.063 crystal_system=triclinic pbc="T T T"
Ga -0.0144 -0.0098 1.4684
Ga 1.4729 2.4601 3.3894
B -1.2863 1.7445 1.7853
B -0.3942 3.1786 1.7808
B 1.8527 -0.7283 3.0769
B 2.7448 0.7058 3.0725
As -0.7006 1.0670 4.8567
As 2.1591 1.3833 0.0011



4
Lattice="3.1970 0.0000 0.0000 0.0000 3.1970 0.0000 0.0000 0.0000 9.2817" Properties=species:S:1:pos:R:3 comment="GGA-PBE CrSb2Te, optimized geometry" dft_energy_ev_per_fu=-20.0 vol_a3_per_cell=94.87 e_form_raw_ev_per_atom=0.252 e_above_lowest_polymorph_ev_per_atom=0.156 crystal_system=tetragonal pbc="T T T"
Cr 0.0000 0.0000 0.0000
Sb 0.0000 0.0000 4.5260
Sb 1.5985 1.5985 1.7831
Te 1.5985 1.5985 7.7815